Version i
{"formula": "BaY3Ru", "functional": "PBE", "state": "optimized geometry", "volume_a3_per_cell": 345.3, "mass_density_g_cm3": 4.9, "lattice": [[11.6676, -2.7921, 0.0000], [11.6676, 2.7921, 0.0000], [-1.2704, 0.0000, 5.3004]], "species": ["Ba", "Ba", "Y", "Y", "Y", "Y", "Y", "Y", "Ru", "Ru"], "fractional_positions": [[0.0751, 0.0751, 0.3253], [0.9249, 0.9249, 0.6747], [0.1966, 0.1966, 0.9465], [0.3071, 0.3071, 0.5574], [0.4360, 0.4360, 0.1860], [0.5640, 0.5640, 0.8139], [0.6929, 0.6929, 0.4426], [0.8034, 0.8034, 0.0535], [0.3216, 0.3216, 0.0720], [0.6784, 0.6784, 0.9280]]}

=====

Version ii
{"formula": "BaY3Ru", "functional": "PBE", "state": "optimized geometry", "volume_a3_per_cell": 312.0, "mass_density_g_cm3": 5.4, "lattice": [[4.8278, 2.7874, 3.8647], [-4.8278, 2.7874, 3.8647], [0.0000, -5.5747, 3.8647]], "species": ["Ba", "Ba", "Y", "Y", "Y", "Y", "Y", "Y", "Ru", "Ru"], "fractional_positions": [[0.0000, 0.0000, 0.0000], [0.5000, 0.5000, 0.5000], [0.0351, 0.7500, 0.4649], [0.2500, 0.5351, 0.9649], [0.4649, 0.0351, 0.7500], [0.5351, 0.9649, 0.2500], [0.7500, 0.4649, 0.0351], [0.9649, 0.2500, 0.5351], [0.2500, 0.2500, 0.2500], [0.7500, 0.7500, 0.7500]]}

=====

Version iii
{"formula": "BaY3Ru", "functional": "PBE", "state": "optimized geometry", "volume_a3_per_cell": 352.8, "mass_density_g_cm3": 4.8, "lattice": [[8.9833, 0.0000, 0.0000], [0.0000, 4.0435, 0.0000], [-0.0421, 0.0000, 9.7118]], "species": ["Ba", "Ba", "Y", "Y", "Y", "Y", "Y", "Y", "Ru", "Ru"], "fractional_positions": [[0.0000, 0.0000, 0.0000], [0.4985, 0.5000, 0.0905], [0.1784, 0.5000, 0.6772], [0.3056, 0.0000, 0.4107], [0.4918, 0.0000, 0.7398], [0.6773, 0.0000, 0.4136], [0.8067, 0.5000, 0.6795], [0.9900, 0.5000, 0.3506], [0.4922, 0.5000, 0.5494], [0.9922, 0.0000, 0.5410]]}

=====

Version iv
{"formula": "BaY3Ru", "functional": "PBE", "state": "optimized geometry", "volume_a3_per_cell": 376.0, "mass_density_g_cm3": 4.5, "lattice": [[3.1872, -11.1022, 0.0000], [3.1872, 11.1022, 0.0000], [0.0000, 0.0000, 5.3134]], "species": ["Ba", "Ba", "Y", "Y", "Y", "Y", "Y", "Y", "Ru", "Ru"], "fractional_positions": [[0.2165, 0.7835, 0.7500], [0.7835, 0.2165, 0.2500], [0.0000, 0.0000, 0.0000], [0.0000, 0.0000, 0.5000], [0.1647, 0.3746, 0.7500], [0.3746, 0.1647, 0.2500], [0.6254, 0.8353, 0.7500], [0.8353, 0.6254, 0.2500], [0.4975, 0.5025, 0.2500], [0.5025, 0.4975, 0.7500]]}

=====

Energy relative to the most stable one, in kJ/mol of atoms: version i 4.5; version ii 39.7; version iii 0.0; version iv 72.8

=====

Version i
{"formula": "BaY2Ru2", "functional": "PBE", "state": "optimized geometry", "volume_a3_per_cell": 243.0, "mass_density_g_cm3": 7.1, "lattice": [[8.3955, 0.0000, 0.0000], [0.0000, 8.3955, 0.0000], [0.0000, 0.0000, 3.4481]], "species": ["Ba", "Ba", "Y", "Y", "Y", "Y", "Ru", "Ru", "Ru", "Ru"], "fractional_positions": [[0.0000, 0.0000, 0.0000], [0.5000, 0.5000, 0.0000], [0.1397, 0.3603, 0.5000], [0.3603, 0.8603, 0.5000], [0.6397, 0.1397, 0.5000], [0.8603, 0.6397, 0.5000], [0.1471, 0.6471, 0.0000], [0.3529, 0.1471, 0.0000], [0.6471, 0.8529, 0.0000], [0.8529, 0.3529, 0.0000]]}

=====

Version ii
{"formula": "BaY2Ru2", "functional": "PBE", "state": "optimized geometry", "volume_a3_per_cell": 286.6, "mass_density_g_cm3": 6.0, "lattice": [[4.9817, 0.0000, 0.0000], [0.0000, 4.9817, 0.0000], [0.0000, 0.0000, 11.5466]], "species": ["Ba", "Ba", "Y", "Y", "Y", "Y", "Ru", "Ru", "Ru", "Ru"], "fractional_positions": [[0.0000, 0.0000, 0.0000], [0.5000, 0.5000, 0.5000], [0.0000, 0.0000, 0.3404], [0.0000, 0.0000, 0.6596], [0.5000, 0.5000, 0.1596], [0.5000, 0.5000, 0.8404], [0.0000, 0.5000, 0.2500], [0.0000, 0.5000, 0.7500], [0.5000, 0.0000, 0.2500], [0.5000, 0.0000, 0.7500]]}

=====

Energy relative to the most stable one, in kJ/mol of atoms: version i 0.0; version ii 16.5